DFT (GGA-PBEsol) results for a geometry-optimized AgH14C3S3N6ClO structure.

Summary:
Final energy ... -5.5730 eV/atom
Calculated density ... 2.00 Mg/m³

Lattice parameters (Å, degrees): 6.098 9.814 11.195 100.46 92.45 100.06
Element x y z (fractional)
1 Ag 0.129 0.036 0.393
2 Ag 0.871 0.964 0.607
3 H 0.013 0.348 0.111
4 H 0.052 0.583 0.270
5 H 0.118 0.890 0.160
6 H 0.160 0.771 0.626
7 H 0.190 0.748 0.057
8 H 0.275 0.542 0.356
9 H 0.300 0.378 0.085
10 H 0.312 0.636 0.572
11 H 0.315 0.258 0.772
12 H 0.356 0.413 0.606
13 H 0.408 0.528 0.724
14 H 0.426 0.098 0.217
15 H 0.471 0.761 0.857
16 H 0.493 0.337 0.906
17 H 0.507 0.663 0.094
18 H 0.529 0.239 0.143
19 H 0.574 0.902 0.783
20 H 0.592 0.472 0.276
21 H 0.644 0.587 0.394
22 H 0.685 0.742 0.228
23 H 0.688 0.364 0.428
24 H 0.700 0.622 0.915
25 H 0.725 0.458 0.644
26 H 0.810 0.252 0.943
27 H 0.840 0.229 0.374
28 H 0.882 0.110 0.840
29 H 0.948 0.417 0.730
30 H 0.987 0.652 0.889
31 C 0.096 0.687 0.446
32 C 0.192 0.204 0.160
33 C 0.406 0.827 0.208
34 C 0.594 0.173 0.792
35 C 0.808 0.796 0.840
36 C 0.904 0.313 0.554
37 S 0.038 0.899 0.797
38 S 0.111 0.217 0.577
39 S 0.477 0.948 0.341
40 S 0.523 0.052 0.659
41 S 0.889 0.783 0.423
42 S 0.962 0.101 0.203
43 N 0.139 0.593 0.352
44 N 0.165 0.316 0.112
45 N 0.206 0.703 0.554
46 N 0.217 0.815 0.140
47 N 0.396 0.174 0.168
48 N 0.453 0.260 0.829
49 N 0.547 0.740 0.171
50 N 0.604 0.826 0.832
51 N 0.783 0.185 0.860
52 N 0.794 0.297 0.446
53 N 0.835 0.684 0.888
54 N 0.861 0.407 0.648
55 Cl 0.285 0.559 0.905
56 Cl 0.715 0.441 0.095
57 O 0.450 0.508 0.639
58 O 0.550 0.492 0.361